Run a
11
Lattice="-2.970 2.522 1.084 -2.057 -3.102 1.581 2.093 0.702 4.101" Properties=species:S:1:pos:R:3 comment="ErCo2H8 PBE-GGA optimized geometry" dos_ef_per_ev_cell=2.443 crystal_system=tetragonal space_group="P4/mmm, No. 123" pbc="T T T"
H -2.380 1.432 1.959
H -0.700 0.005 1.346
H -3.544 -0.323 2.854
Co -1.485 1.261 0.542
H 0.610 0.445 3.912
H -0.554 -1.310 4.807
H -2.234 0.117 5.420
H -1.864 -1.750 2.240
Er -1.467 0.061 3.383
H -1.070 1.872 4.526
Co -1.029 -1.551 0.791


Run b
11
Lattice="3.588 0.174 0.261 -0.351 4.562 -0.112 -0.351 -1.860 4.167" Properties=species:S:1:pos:R:3 comment="ErCo2H8 PBE-GGA optimized geometry" dos_ef_per_ev_cell=1.971 crystal_system=monoclinic space_group="C2/m, No. 12" pbc="T T T"
Co -0.351 2.483 1.274
H -0.046 -0.433 1.331
Er 1.794 0.087 0.131
Co -0.351 0.220 2.782
H 1.443 2.709 1.312
H 0.500 1.508 2.263
H 2.386 1.368 2.054
H 2.933 1.481 4.204
H 1.443 0.167 3.005
H -0.046 1.395 0.113
H 2.933 3.309 2.986


Stability, highest: run b


Run a
6
Lattice="-0.545 3.078 1.388 -2.669 3.693 -5.034 -3.973 -2.545 4.088" Properties=species:S:1:pos:R:3 comment="ErHfCo PBE-GGA optimized geometry" dos_ef_per_ev_cell=5.860 crystal_system=monoclinic space_group="C2/m, No. 12" pbc="T T T"
Co -3.009 2.576 1.211
Hf -0.801 1.462 0.330
Hf -2.749 0.219 2.327
Er -4.290 1.347 -0.785
Co -3.210 2.799 -3.588
Er -1.929 4.027 -1.592


Run b
3
Lattice="-0.973 2.178 -2.208 -1.437 -2.368 -1.702 -3.703 0.928 4.941" Properties=species:S:1:pos:R:3 comment="ErHfCo PBE-GGA optimized geometry" dos_ef_per_ev_cell=3.991 crystal_system=tetragonal space_group="I4mm, No. 107" pbc="T T T"
Er -0.211 0.036 0.128
Hf -2.868 0.487 1.744
Co -3.035 0.216 -0.843


Stability, highest: run a